Record 1
VASP calculation (GGA-PBE) on a relaxed CaMgF3 crystal.

The value obtained for the uncorrected formation energy is -14.0 eV per formula unit. The value obtained for the energy above the most stable polymorph in this dataset is 0.128 eV/atom.

The space group is Pm-3m (No. 221) and the conventional cell measures 4.4382, 4.4382 and 4.4382 Å, with angles of 90.00, 90.00 and 90.00 degrees. The asymmetric unit holds Ca at (0.0000, 0.0000, 0.0000), Mg at (0.5000, 0.5000, 0.5000) and F at (0.0000, 0.0000, 0.5000).

Record 2
VASP calculation (GGA-PBE) on a relaxed Ca2MgF crystal.

The value obtained for the uncorrected formation energy is -5.3 eV per formula unit. The value obtained for the energy above the most stable polymorph in this dataset is 0.000 eV/atom.

The space group is I-42d (No. 122) and the conventional cell measures 7.2979, 7.2979 and 8.3925 Å, with angles of 90.00, 90.00 and 90.00 degrees. The asymmetric unit holds Ca at (0.1352, 0.2500, 0.1250), Mg at (0.0000, 0.0000, 0.5000) and F at (0.0000, 0.0000, 0.0000).

Record 3
VASP calculation (GGA-PBE) on a relaxed Ca12Mg3F5 crystal.

The value obtained for the uncorrected formation energy is -26.4 eV per formula unit.

The space group is Ia-3d (No. 230) and the conventional cell measures 16.5655, 16.5655 and 16.5655 Å, with angles of 90.00, 90.00 and 90.00 degrees. The asymmetric unit holds Ca at (0.0397, 0.0517, 0.6508), Mg at (0.0000, 0.2500, 0.1250), F at (0.0000, 0.0000, 0.0000) and F at (0.0000, 0.2500, 0.3750).

Record 4
VASP calculation (GGA-PBE) on a relaxed CaMgF2 crystal.

The value obtained for the uncorrected formation energy is -8.0 eV per formula unit. The value obtained for the energy above the most stable polymorph in this dataset is 0.715 eV/atom.

The space group is Fm-3m (No. 225) and the conventional cell measures 6.4613, 6.4613 and 6.4613 Å, with angles of 90.00, 90.00 and 90.00 degrees. The asymmetric unit holds Ca at (0.0000, 0.0000, 0.0000), Mg at (0.0000, 0.0000, 0.5000) and F at (0.2500, 0.2500, 0.2500).

Record 5
VASP calculation (GGA-PBE) on a relaxed CaMg2F crystal.

The value obtained for the uncorrected formation energy is -1.5 eV per formula unit. The value obtained for the energy above the most stable polymorph in this dataset is 0.638 eV/atom.

The space group is Fm-3m (No. 225) and the conventional cell measures 7.4864, 7.4864 and 7.4864 Å, with angles of 90.00, 90.00 and 90.00 degrees. The asymmetric unit holds Ca at (0.0000, 0.0000, 0.0000), Mg at (0.2500, 0.2500, 0.2500) and F at (0.0000, 0.0000, 0.5000).

Record 6
VASP calculation (GGA-PBE) on a relaxed Ca3MgF crystal.

The value obtained for the uncorrected formation energy is -5.2 eV per formula unit. The value obtained for the energy above the most stable polymorph in this dataset is 0.000 eV/atom.

The space group is Pm-3m (No. 221) and the conventional cell measures 5.1412, 5.1412 and 5.1412 Å, with angles of 90.00, 90.00 and 90.00 degrees. The asymmetric unit holds Ca at (0.0000, 0.0000, 0.5000), Mg at (0.5000, 0.5000, 0.5000) and F at (0.0000, 0.0000, 0.0000).

Record 7
VASP calculation (GGA-PBE) on a relaxed CaMg2F crystal.

The value obtained for the uncorrected formation energy is -4.0 eV per formula unit. The value obtained for the energy above the most stable polymorph in this dataset is 0.000 eV/atom.

The space group is I-42d (No. 122) and the conventional cell measures 6.6588, 6.6588 and 9.3123 Å, with angles of 90.00, 90.00 and 90.00 degrees. The asymmetric unit holds Ca at (0.0000, 0.0000, 0.0000), Mg at (0.0428, 0.2500, 0.6250) and F at (0.0000, 0.0000, 0.5000).

Record 8
VASP calculation (GGA-PBE) on a relaxed Ca4MgF10 crystal.

The value obtained for the uncorrected formation energy is -57.2 eV per formula unit.

The space group is I4/m (No. 87) and the conventional cell measures 8.5588, 8.5588 and 5.4116 Å, with angles of 90.00, 90.00 and 90.00 degrees. The asymmetric unit holds Ca at (0.1009, 0.7028, 0.0000), Mg at (0.0000, 0.0000, 0.5000), F at (0.0000, 0.5000, 0.2500) and F at (0.0970, 0.1914, 0.2607).

| no. | V (Å³/cell) | density (g cm⁻³) | E_tot (eV/atom) |
| --- | --- | --- | --- |
| 1 | 87.4 | 2.305 | -4.64 |
| 2 | 447.0 | 1.835 | -3.18 |
| 3 | 4545.8 | 1.896 | -3.23 |
| 4 | 269.7 | 2.521 | -3.84 |
| 5 | 419.6 | 1.705 | -2.14 |
| 6 | 135.9 | 1.998 | -2.93 |
| 7 | 412.9 | 1.732 | -2.77 |
| 8 | 396.4 | 3.138 | -5.70 |